The following is a DFT calculation (PBE-GGA) of a geometry-optimized NaMg5Sn4 structure.

```
data_NaMg5Sn4
_chemical_formula_sum 'Na2 Mg10 Sn8'
_space_group_name_H-M_alt 'C 1 2/m 1'
_space_group_IT_number 12
_cell_length_a 18.0022
_cell_length_b 3.3682
_cell_length_c 10.1640
_cell_angle_alpha 90.00
_cell_angle_beta 122.85
_cell_angle_gamma 90.00
loop_
_space_group_symop_operation_xyz
'x,y,z'
'-x,-y,-z'
'-x,y,-z'
'x,-y,z'
'x+1/2,y+1/2,z'
'-x+1/2,-y+1/2,-z'
'-x+1/2,y+1/2,-z'
'x+1/2,-y+1/2,z'
loop_
_atom_site_label
_atom_site_fract_x
_atom_site_fract_y
_atom_site_fract_z
Na1 0.0000 0.0000 0.0000
Mg1 0.0000 0.0000 0.5000
Mg2 0.1810 0.5000 0.3509
Mg3 0.1819 0.5000 0.0170
Sn1 0.0036 0.5000 0.7422
Sn2 0.1890 0.5000 0.6940
```

Calculated values
E_form	-0.06	eV per atom
E	-51.73	eV for the cell shown

=====

The following is a DFT calculation (PBE-GGA) of a geometry-optimized ZrTaCu2 structure.

```
data_ZrTaCu2
_chemical_formula_sum 'Zr2 Ta2 Cu4'
_space_group_name_H-M_alt 'I -4 m 2'
_space_group_IT_number 119
_space_group_name_Hall 'I -4 -2'
_cell_length_a 3.8950
_cell_length_b 3.8950
_cell_length_c 8.5683
_cell_angle_alpha 90.00
_cell_angle_beta 90.00
_cell_angle_gamma 90.00
loop_
_atom_site_label
_atom_site_fract_x
_atom_site_fract_y
_atom_site_fract_z
Zr1 0.0000 0.0000 0.0000
Ta1 0.0000 0.5000 0.2500
Cu1 0.0000 0.0000 0.5000
Cu2 0.0000 0.5000 0.7500
```

Calculated values
E_form	0.17	eV per atom
E	-55.81	eV for the cell shown

=====

The following is a DFT calculation (PBE-GGA) of a geometry-optimized Cu3Ni2Pd3 structure.

```
data_Cu3Ni2Pd3
_chemical_formula_sum 'Cu6 Ni4 Pd6'
_space_group_name_H-M_alt 'I m m m'
_space_group_IT_number 71
_space_group_name_Hall '-I 2 2'
_cell_length_a 3.5937
_cell_length_b 3.8244
_cell_length_c 15.2510
_cell_angle_alpha 90.00
_cell_angle_beta 90.00
_cell_angle_gamma 90.00
loop_
_atom_site_label
_atom_site_fract_x
_atom_site_fract_y
_atom_site_fract_z
Cu1 0.0000 0.0000 0.0000
Cu2 0.0000 0.5000 0.1303
Ni1 0.0000 0.0000 0.2507
Pd1 0.0000 0.0000 0.5000
Pd2 0.0000 0.5000 0.3693
```

Calculated values
E_form	-0.03	eV per atom
E	-79.33	eV for the cell shown

=====

The following is a DFT calculation (PBE-GGA) of a geometry-optimized Nd3PdPt structure.

```
data_Nd3PdPt
_chemical_formula_sum 'Nd12 Pd4 Pt4'
_space_group_name_H-M_alt 'P 1 21/c 1'
_space_group_IT_number 14
_cell_length_a 9.0145
_cell_length_b 7.5290
_cell_length_c 8.5405
_cell_angle_alpha 90.00
_cell_angle_beta 105.76
_cell_angle_gamma 90.00
loop_
_space_group_symop_operation_xyz
'x,y,z'
'-x,-y,-z'
'-x,y+1/2,-z+1/2'
'x,-y+1/2,z+1/2'
loop_
_atom_site_label
_atom_site_fract_x
_atom_site_fract_y
_atom_site_fract_z
Nd1 0.0606 0.0013 0.2202
Nd2 0.2971 0.1488 0.6168
Nd3 0.3564 0.6825 0.5079
Pd1 0.0545 0.6834 0.0234
Pt1 0.4048 0.0364 0.3206
```

Calculated values
E_form	-0.78	eV per atom
relative energy among the computed polymorphs	0	meV per atom
E	-117.69	eV for the cell shown

=====

The following is a DFT calculation (PBE-GGA) of a geometry-optimized ReRuAu2 structure.

```
data_ReRuAu2
_chemical_formula_sum 'Re1 Ru1 Au2'
_space_group_name_H-M_alt 'P 4/m m m'
_space_group_IT_number 123
_space_group_name_Hall '-P 4 2'
_cell_length_a 4.6836
_cell_length_b 4.6836
_cell_length_c 2.9388
_cell_angle_alpha 90.00
_cell_angle_beta 90.00
_cell_angle_gamma 90.00
loop_
_atom_site_label
_atom_site_fract_x
_atom_site_fract_y
_atom_site_fract_z
Re1 0.0000 0.0000 0.0000
Ru1 0.5000 0.5000 0.0000
Au1 0.0000 0.5000 0.5000
```

Calculated values
E_form	0.73	eV per atom
relative energy among the computed polymorphs	569	meV per atom
E	-25.36	eV for the cell shown

=====

The following is a DFT calculation (PBE-GGA) of a geometry-optimized Dy5Ta2S12 structure.

```
data_Dy5Ta2S12
_chemical_formula_sum 'Dy10 Ta4 S24'
_space_group_name_H-M_alt 'C 1 2/m 1'
_space_group_IT_number 12
_cell_length_a 15.1100
_cell_length_b 6.9625
_cell_length_c 8.7352
_cell_angle_alpha 90.00
_cell_angle_beta 107.01
_cell_angle_gamma 90.00
loop_
_space_group_symop_operation_xyz
'x,y,z'
'-x,-y,-z'
'-x,y,-z'
'x,-y,z'
'x+1/2,y+1/2,z'
'-x+1/2,-y+1/2,-z'
'-x+1/2,y+1/2,-z'
'x+1/2,-y+1/2,z'
loop_
_atom_site_label
_atom_site_fract_x
_atom_site_fract_y
_atom_site_fract_z
Dy1 0.0000 0.0000 0.0000
Dy2 0.1859 0.5000 0.3296
Dy3 0.2041 0.5000 0.8599
Ta1 0.0000 0.2484 0.5000
S1 0.0036 0.5000 0.7082
S2 0.0063 0.0000 0.3094
S3 0.1484 0.2517 0.0680
S4 0.1685 0.2583 0.5885
```

Calculated values
formation energy (no corrections)	-1.68	eV per atom
E	-256.17	eV for the cell shown

=====

The following is a DFT calculation (PBE-GGA) of a geometry-optimized CePmIrPt structure.

```
data_CePmIrPt
_chemical_formula_sum 'Ce4 Pm4 Ir4 Pt4'
_space_group_name_H-M_alt 'F -4 3 m'
_space_group_IT_number 216
_space_group_name_Hall 'F -4 2 3'
_cell_length_a 7.0925
_cell_length_b 7.0925
_cell_length_c 7.0925
_cell_angle_alpha 90.00
_cell_angle_beta 90.00
_cell_angle_gamma 90.00
loop_
_atom_site_label
_atom_site_fract_x
_atom_site_fract_y
_atom_site_fract_z
Ce1 0.0000 0.0000 0.0000
Pm1 0.0000 0.0000 0.5000
Ir1 0.2500 0.2500 0.7500
Pt1 0.2500 0.2500 0.2500
```

Calculated values
E_form	-0.82	eV per atom
relative energy among the computed polymorphs	143	meV per atom
E	-115.43	eV for the cell shown

=====

The following is a DFT calculation (PBE-GGA) of a geometry-optimized AgAs2Os structure.

```
data_AgAs2Os
_chemical_formula_sum 'Ag1 As2 Os1'
_space_group_name_H-M_alt 'P 4/m m m'
_space_group_IT_number 123
_space_group_name_Hall '-P 4 2'
_cell_length_a 3.0079
_cell_length_b 3.0079
_cell_length_c 7.8388
_cell_angle_alpha 90.00
_cell_angle_beta 90.00
_cell_angle_gamma 90.00
loop_
_atom_site_label
_atom_site_fract_x
_atom_site_fract_y
_atom_site_fract_z
Ag1 0.0000 0.0000 0.0000
As1 0.5000 0.5000 0.2970
Os1 0.0000 0.0000 0.5000
```

Calculated values
E_form	0.24	eV per atom
relative energy among the computed polymorphs	52	meV per atom
E	-22.43	eV for the cell shown

=====

The following is a DFT calculation (PBE-GGA) of a geometry-optimized Co2AsI structure.

```
data_Co2AsI
_chemical_formula_sum 'Co8 As4 I4'
_space_group_name_H-M_alt 'F m -3 m'
_space_group_IT_number 225
_space_group_name_Hall '-F 4 2 3'
_cell_length_a 6.3152
_cell_length_b 6.3152
_cell_length_c 6.3152
_cell_angle_alpha 90.00
_cell_angle_beta 90.00
_cell_angle_gamma 90.00
loop_
_atom_site_label
_atom_site_fract_x
_atom_site_fract_y
_atom_site_fract_z
Co1 0.2500 0.2500 0.2500
As1 0.0000 0.0000 0.0000
I1 0.0000 0.0000 0.5000
```

Calculated values
formation energy (no corrections)	0.66	eV per atom
relative energy among the computed polymorphs	347	meV per atom
E	-71.02	eV for the cell shown

=====

The following is a DFT calculation (PBE-GGA) of a geometry-optimized LiBiSb structure.

```
data_LiBiSb
_chemical_formula_sum 'Li1 Bi1 Sb1'
_space_group_name_H-M_alt 'P 3 m 1'
_space_group_IT_number 156
_cell_length_a 5.4648
_cell_length_b 5.4648
_cell_length_c 3.2503
_cell_angle_alpha 90.00
_cell_angle_beta 90.00
_cell_angle_gamma 120.00
loop_
_space_group_symop_operation_xyz
'x,y,z'
'-y,x-y,z'
'-x+y,-x,z'
'-y,-x,z'
'-x+y,y,z'
'x,x-y,z'
loop_
_atom_site_label
_atom_site_fract_x
_atom_site_fract_y
_atom_site_fract_z
Li1 0.0000 0.0000 0.0000
Bi1 0.3333 0.6667 0.4929
Sb1 0.6667 0.3333 0.4946
```

Calculated values
formation energy (no corrections)	-0.11	eV per atom
relative energy among the computed polymorphs	108	meV per atom
E	-10.25	eV for the cell shown

=====

The following is a DFT calculation (PBE-GGA) of a geometry-optimized HfRePOs structure.

```
data_HfRePOs
_chemical_formula_sum 'Hf2 Re2 P2 Os2'
_space_group_name_H-M_alt 'A m m 2'
_space_group_IT_number 38
_cell_length_a 2.9656
_cell_length_b 4.3906
_cell_length_c 9.6914
_cell_angle_alpha 90.00
_cell_angle_beta 90.00
_cell_angle_gamma 90.00
loop_
_space_group_symop_operation_xyz
'x,y,z'
'-x,-y,z'
'-x,y,z'
'x,-y,z'
'x,y+1/2,z+1/2'
'-x,-y+1/2,z+1/2'
'-x,y+1/2,z+1/2'
'x,-y+1/2,z+1/2'
loop_
_atom_site_label
_atom_site_fract_x
_atom_site_fract_y
_atom_site_fract_z
Hf1 0.0000 0.0000 0.0000
Re1 0.5000 0.0000 0.7083
P1 0.5000 0.0000 0.4702
Os1 0.0000 0.0000 0.2896
```

Calculated values
E_form	-0.32	eV per atom
relative energy among the computed polymorphs	45	meV per atom
E	-80.65	eV for the cell shown

=====

The following is a DFT calculation (PBE-GGA) of a geometry-optimized PrErInPb structure.

```
data_PrErInPb
_chemical_formula_sum 'Pr4 Er4 In4 Pb4'
_space_group_name_H-M_alt 'F -4 3 m'
_space_group_IT_number 216
_space_group_name_Hall 'F -4 2 3'
_cell_length_a 7.7345
_cell_length_b 7.7345
_cell_length_c 7.7345
_cell_angle_alpha 90.00
_cell_angle_beta 90.00
_cell_angle_gamma 90.00
loop_
_atom_site_label
_atom_site_fract_x
_atom_site_fract_y
_atom_site_fract_z
Pr1 0.0000 0.0000 0.0000
Er1 0.0000 0.0000 0.5000
In1 0.2500 0.2500 0.2500
Pb1 0.2500 0.2500 0.7500
```

Calculated values
E_form	-0.41	eV per atom
relative energy among the computed polymorphs	45	meV per atom
E	-69.72	eV for the cell shown